! La2BeGe3 | Alexandria via LeMat-Bulk | PBE | relaxed; values from VASP
&SYSTEM
  ibrav = 0, nat = 6, ntyp = 3
/
ATOMIC_SPECIES
La 138.91 La.upf
Be 9.01 Be.upf
Ge 72.64 Ge.upf
ATOMIC_POSITIONS angstrom
La -5.4436 -5.0281 0.8054
La -3.0973 -1.6478 0.8199
Be -2.1220 -2.2217 -2.2819
Ge -6.0184 -2.1628 -0.6149
Ge -2.0249 -0.0382 -1.6720
Ge -4.0713 -3.2588 -1.7659
CELL_PARAMETERS angstrom
-1.6811 1.1839 -3.9711
1.4278 -3.5042 -1.6491
-6.1591 -3.2768 1.6304
! * offset from the most stable computed form: 0.022 eV/atom

=====

Entry from Alexandria via LeMat-Bulk: MgPaPb6 after structural relaxation (PBE). Values from VASP.

```
&SYSTEM
  ibrav = 0, nat = 8, ntyp = 3
/
ATOMIC_SPECIES
Mg 24.30 Mg.upf
Pa 231.04 Pa.upf
Pb 207.20 Pb.upf
ATOMIC_POSITIONS angstrom
Mg -0.5779 -4.5183 -2.9167
Pa -2.2817 -0.7363 -0.4464
Pb 1.6773 -2.4905 -4.4658
Pb 1.7302 -5.0734 -0.4748
Pb 2.5399 -5.6380 -3.6826
Pb 0.8676 -1.9259 -1.2580
Pb -1.4567 -1.3143 -3.7102
Pb -1.4030 -3.9403 0.3472
CELL_PARAMETERS angstrom
-4.5634 -1.4727 -0.8927
1.6500 -1.1559 -6.5277
1.7575 -6.4080 1.5871
```

=====

! Na2AgS2 | Alexandria via LeMat-Bulk | PBE | relaxed; values from VASP
&SYSTEM
  ibrav = 0, nat = 5, ntyp = 3
/
ATOMIC_SPECIES
Na 22.99 Na.upf
S 32.06 S.upf
Ag 107.87 Ag.upf
ATOMIC_POSITIONS angstrom
Na 0.4082 -5.3170 -4.1268
Na 3.0193 -2.6956 -5.3930
S 2.0926 -3.4744 -2.8776
S 1.3349 -4.5382 -6.6422
Ag 0.0000 0.0000 0.0000
CELL_PARAMETERS angstrom
-2.8007 -4.1655 -2.3216
2.4216 1.0771 -4.8540
3.8066 -4.9242 -2.3442
! * raw formation energy: -491 meV/atom
! * offset from the most stable computed form: 0.105 eV/atom

=====

Entry from Alexandria via LeMat-Bulk: Np3P4Pd7 after structural relaxation (PBE). Values from VASP.

```
&SYSTEM
  ibrav = 0, nat = 14, ntyp = 3
/
ATOMIC_SPECIES
Np 237.00 Np.upf
P 30.97 P.upf
Pd 106.42 Pd.upf
ATOMIC_POSITIONS angstrom
Np 1.1110 -1.7943 2.2300
Np 5.9681 -5.7309 8.4676
Np 4.3867 -2.2607 4.3870
P 2.1768 -4.0422 3.7117
P 4.9024 -3.4830 6.9859
P 4.6238 -7.1534 5.0619
P 2.4554 -0.3718 5.6356
Pd 6.0010 -5.0875 5.4479
Pd 2.8623 -2.0885 7.3665
Pd 3.6952 -3.9497 9.2470
Pd 1.0782 -2.4377 5.2496
Pd 3.3839 -3.5754 1.4506
Pd 0.0000 0.0000 0.0000
Pd 4.2169 -5.4367 3.3310
CELL_PARAMETERS angstrom
-1.6943 -3.0038 1.9235
5.8307 -5.2712 0.9576
2.9427 0.7498 7.8165
```

=====

The E_tot results, record by record, are as follows: -5.247 -4.130 -3.240 -7.539 eV/atom.